1.
The following is a DFT calculation (GGA-PBE) of crystalline LaZn2InNi at its relaxed geometry.

Cell: 4.7059 4.7059 4.8563 Å, 90.00 90.00 90.00°
Last column: nearest neighbours and their distance in Å.
Space group P4/mmm (No. 123)
Symmetry-distinct sites (fractional):
La (0.0000, 0.0000, 0.0000)  4 In 3.33, 8 Zn 3.38
Zn (0.0000, 0.5000, 0.5000)  2 Ni 2.35
In (0.5000, 0.5000, 0.0000)  2 Ni 2.43
Ni (0.5000, 0.5000, 0.5000)  4 Zn 2.35, 2 In 2.43

2.
The following is a DFT calculation (GGA-PBE) of crystalline Sr2LiAgS at its relaxed geometry.

Cell: 5.7928 5.7928 4.5606 Å, 90.00 90.00 90.00°
Last column: nearest neighbours and their distance in Å.
Space group P4/mmm (No. 123)
Symmetry-distinct sites (fractional):
Sr (0.0000, 0.5000, 0.0000)  2 S 2.90
Li (0.0000, 0.0000, 0.5000)  2 S 2.28
Ag (0.5000, 0.5000, 0.5000)  8 Sr 3.69, 4 Li 4.10
S (0.0000, 0.0000, 0.0000)  2 Li 2.28

Values from the calculation:
formation energy (no corrections)	-76	kJ per mole of atoms

3.
The following is a DFT calculation (GGA-PBE) of crystalline Li8AgSn6 at its relaxed geometry.

Cell: 8.1395 8.1395 17.5152 Å, 90.00 90.00 120.00°
Last column: nearest neighbours and their distance in Å.
Space group R-3 (No. 148, hexagonal axes)
Symmetry-distinct sites (fractional):
Li (0.0000, 0.0000, 0.1726)  6 Sn 2.84-2.86
Li (0.0010, 0.3232, 0.3825)  5 Sn 2.87-3.00, 1 Li 3.13
Ag (0.0000, 0.0000, 0.5000)  6 Sn 2.89
Sn (0.0019, 0.3295, 0.8857)  7 Li 2.84-2.99, 1 Ag 2.89

4.
The following is a DFT calculation (GGA-PBE) of crystalline AlFe2Ge at its relaxed geometry.

Cell: 4.0300 4.0300 2.8884 Å, 90.00 90.00 90.00°
Last column: nearest neighbours and their distance in Å.
Space group P4/mmm (No. 123)
Symmetry-distinct sites (fractional):
Al (0.0000, 0.0000, 0.0000)  8 Fe 2.48
Fe (0.0000, 0.5000, 0.5000)  4 Ge 2.48, 4 Al 2.48
Ge (0.5000, 0.5000, 0.0000)  8 Fe 2.48

5.
The following is a DFT calculation (GGA-PBE) of crystalline FeRe2Pt at its relaxed geometry.

Cell: 3.7918 3.7918 7.8197 Å, 90.00 90.00 90.00°
Last column: nearest neighbours and their distance in Å.
Space group I4/mmm (No. 139)
Symmetry-distinct sites (fractional):
Fe (0.0000, 0.0000, 0.0000)  4 Pt 2.68, 8 Re 2.72
Re (0.0000, 0.5000, 0.2500)  4 Re 2.68, 4 Fe 2.72, 4 Pt 2.72
Pt (0.0000, 0.0000, 0.5000)  4 Fe 2.68, 8 Re 2.72

Values from the calculation:
energy relative to the lowest polymorph listed for this composition	44	meV/atom

6.
The following is a DFT calculation (GGA-PBE) of crystalline ErCdH at its relaxed geometry.

Cell: 7.7357 5.7466 10.4072 Å, 90.00 98.12 90.00°
Last column: nearest neighbours and their distance in Å.
Space group P2_1 (No. 4)
Symmetry-distinct sites (fractional):
Er (0.0569, 0.0000, 0.2194)  2 H 2.14-2.19
Er (0.2441, 0.8286, 0.6703)  2 H 2.16-2.36
Er (0.3221, 0.6066, 0.0471)  3 H 2.10-2.16
Er (0.3431, 0.5351, 0.3929)  3 H 2.13-2.22
Cd (0.0616, 0.2766, 0.5402)  1 H 2.19
Cd (0.1216, 0.0592, 0.9340)  3 H 2.92-3.23, 2 Cd 3.03-3.13, 3 Er 3.10-3.20
Cd (0.3352, 0.3133, 0.7560)  3 Cd 2.77-3.03, 1 H 2.85, 1 Er 2.98
Cd (0.4083, 0.1436, 0.1728)  1 H 2.09
H (0.0610, 0.3227, 0.3311)  2 Er 2.19-2.36, 1 Cd 2.19
H (0.2089, 0.6882, 0.2203)  3 Er 2.13-2.16
H (0.4297, 0.8110, 0.5343)  3 Er 2.16-2.22
H (0.4943, 0.3283, 0.0204)  1 Cd 2.09, 2 Er 2.10-2.12

7.
The following is a DFT calculation (GGA-PBE) of crystalline TbDyGa at its relaxed geometry.

Cell: 4.4939 4.4939 7.9190 Å, 90.00 90.00 90.00°
Last column: nearest neighbours and their distance in Å.
Space group P4/nmm (No. 129, origin choice 2)
Symmetry-distinct sites (fractional):
Tb (0.2500, 0.2500, 0.1379)  5 Ga 2.95-3.27
Dy (0.2500, 0.7500, 0.5000)  4 Ga 3.08, 4 Dy 3.18
Ga (0.2500, 0.2500, 0.7653)  5 Tb 2.95-3.27, 4 Dy 3.08

Values from the calculation:
energy relative to the lowest polymorph listed for this composition	37	meV/atom

8.
The following is a DFT calculation (GGA-PBE) of crystalline MgGa3Hg at its relaxed geometry.

Cell: 5.1682 5.1682 5.1682 Å, 90.00 90.00 90.00°
Last column: nearest neighbours and their distance in Å.
Space group Pm-3m (No. 221)
Symmetry-distinct sites (fractional):
Mg (0.0000, 0.0000, 0.0000)  6 Ga 2.58
Ga (0.0000, 0.0000, 0.5000)  2 Mg 2.58
Hg (0.5000, 0.5000, 0.5000)  12 Ga 3.65

Values from the calculation:
energy relative to the lowest polymorph listed for this composition	0	meV/atom

9.
The following is a DFT calculation (GGA-PBE) of crystalline Y2Pb2O at its relaxed geometry.

Cell: 3.6971 16.4537 8.4362 Å, 90.00 90.00 90.00°
Last column: nearest neighbours and their distance in Å.
Space group Cmc2_1 (No. 36)
Symmetry-distinct sites (fractional):
Y (0.0000, 0.0385, 0.0000)  2 O 2.31-2.56
Y (0.0000, 0.3713, 0.8247)  2 O 2.19
Pb (0.0000, 0.2753, 0.4908)  1 Pb 3.16, 3 Y 3.23-3.35
Pb (0.0000, 0.3912, 0.1919)  5 Y 3.11-3.45, 1 Pb 3.16, 2 O 3.44
O (0.0000, 0.0627, 0.2701)  3 Y 2.19-2.31

Values from the calculation:
energy relative to the lowest polymorph listed for this composition	0	meV/atom
formation energy (no corrections)	-124	kJ per mole of atoms

10.
The following is a DFT calculation (GGA-PBE) of crystalline SrIn6Cu6 at its relaxed geometry.

Cell: 5.5145 9.3633 9.4218 Å, 90.00 90.00 90.00°
Last column: nearest neighbours and their distance in Å.
Space group Immm (No. 71)
Symmetry-distinct sites (fractional):
Sr (0.0000, 0.0000, 0.0000)  8 In 3.19-3.28, 4 Cu 3.53
In (0.0000, 0.0000, 0.3457)  6 Cu 2.86-2.87, 3 In 2.91-3.13
In (0.0000, 0.3406, 0.0000)  6 Cu 2.86-2.93, 1 In 2.98, 1 Sr 3.19
In (0.0000, 0.5000, 0.3113)  6 Cu 2.78-2.84
Cu (0.0000, 0.2639, 0.5000)  4 Cu 2.73, 6 In 2.84-2.93
Cu (0.2500, 0.2500, 0.2500)  4 Cu 2.73-2.76, 6 In 2.78-2.86

11.
The following is a DFT calculation (GGA-PBE) of crystalline Nb2CuSbIr at its relaxed geometry.

Cell: 4.9291 4.9291 4.9328 Å, 90.00 90.00 90.00°
Last column: nearest neighbours and their distance in Å.
Space group P4/mmm (No. 123)
Symmetry-distinct sites (fractional):
Nb (0.0000, 0.5000, 0.0000)  2 Ir 2.46
Cu (0.0000, 0.0000, 0.5000)  4 Sb 3.49, 8 Nb 3.49
Sb (0.5000, 0.5000, 0.5000)  2 Ir 2.47
Ir (0.5000, 0.5000, 0.0000)  4 Nb 2.46, 2 Sb 2.47

Values from the calculation:
formation energy (no corrections)	110	kJ per mole of atoms

12.
The following is a DFT calculation (GGA-PBE) of crystalline TcCl at its relaxed geometry.

Cell: 2.9377 2.9377 11.9503 Å, 90.00 90.00 120.00°
Last column: nearest neighbours and their distance in Å.
Space group R-3m (No. 166, hexagonal axes)
Symmetry-distinct sites (fractional):
Tc (0.0000, 0.0000, 0.0000)  6 Cl 2.62
Cl (0.0000, 0.0000, 0.5000)  6 Tc 2.62

Values from the calculation:
energy relative to the lowest polymorph listed for this composition	791	meV/atom
formation energy (no corrections)	64	kJ per mole of atoms

13.
The following is a DFT calculation (GGA-PBE) of crystalline YFe2Si at its relaxed geometry.

Cell: 3.1873 3.1873 6.1128 Å, 90.00 90.00 90.00°
Last column: nearest neighbours and their distance in Å.
Space group P4/mmm (No. 123)
Symmetry-distinct sites (fractional):
Y (0.0000, 0.0000, 0.0000)  8 Fe 2.97, 2 Si 3.06, 4 Y 3.19
Fe (0.5000, 0.5000, 0.3166)  1 Fe 2.24
Si (0.0000, 0.0000, 0.5000)  8 Fe 2.52

Values from the calculation:
formation energy (no corrections)	-9	kJ per mole of atoms

14.
The following is a DFT calculation (GGA-PBE) of crystalline Nd3Ge4Ir2 at its relaxed geometry.

Cell: 11.3081 4.2670 8.5127 Å, 90.00 102.63 90.00°
Last column: nearest neighbours and their distance in Å.
Space group C2/m (No. 12)
Symmetry-distinct sites (fractional):
Nd (0.0000, 0.0000, 0.0000)  8 Ge 3.15-3.36, 4 Ir 3.19
Nd (0.1674, 0.5000, 0.6527)  7 Ge 3.14-3.26, 4 Ir 3.15-3.30
Ge (0.0503, 0.0000, 0.3791)  2 Ir 2.44, 1 Ge 2.56
Ge (0.2348, 0.5000, 0.0803)  1 Ir 2.44, 2 Ge 2.60
Ir (0.1040, 0.5000, 0.2740)  3 Ge 2.44

Values from the calculation:
energy relative to the lowest polymorph listed for this composition	30	meV/atom

15.
The following is a DFT calculation (GGA-PBE) of crystalline SmGdH at its relaxed geometry.

Cell: 6.7335 3.4899 11.7027 Å, 90.00 95.03 90.00°
Last column: nearest neighbours and their distance in Å.
Space group C2/m (No. 12)
Symmetry-distinct sites (fractional):
Sm (0.1069, 0.0000, 0.1262)  1 H 2.23
Gd (0.1727, 0.0000, 0.6212)  9 Gd 3.49-3.79, 3 Sm 3.64
H (0.1255, 0.5000, 0.9732)  1 H 1.85

Values from the calculation:
energy relative to the lowest polymorph listed for this composition	117	meV/atom

16.
The following is a DFT calculation (GGA-PBE) of crystalline Ho4ZnAg3 at its relaxed geometry.

Cell: 3.6418 4.7510 11.1152 Å, 90.00 90.00 90.00°
Last column: nearest neighbours and their distance in Å.
Space group Pmm2 (No. 25)
Symmetry-distinct sites (fractional):
Ho (0.0000, 0.0000, 0.0000)  5 Ag 3.06-3.09, 2 Zn 3.07
Ho (0.0000, 0.5000, 0.2910)  3 Ag 3.06-3.07, 4 Zn 3.09
Ho (0.5000, 0.0000, 0.4961)  1 Zn 3.04, 6 Ag 3.09-3.13
Ho (0.5000, 0.5000, 0.7903)  7 Ag 3.08-3.10
Zn (0.5000, 0.0000, 0.2229)  2 Ag 2.93, 7 Ho 3.04-3.09
Ag (0.0000, 0.0000, 0.7247)  2 Ag 2.96, 7 Ho 3.06-3.13
Ag (0.0000, 0.5000, 0.5659)  2 Ag 2.96, 7 Ho 3.06-3.09
Ag (0.5000, 0.5000, 0.0690)  2 Zn 2.93, 7 Ho 3.07-3.10

Values from the calculation:
energy relative to the lowest polymorph listed for this composition	54	meV/atom

17.
The following is a DFT calculation (GGA-PBE) of crystalline Rh2WAu at its relaxed geometry.

Cell: 2.8174 3.7927 5.7883 Å, 90.00 90.00 90.00°
Last column: nearest neighbours and their distance in Å.
Space group Pmmm (No. 47)
Symmetry-distinct sites (fractional):
Rh (0.0000, 0.0000, 0.2345)  3 Rh 2.71-2.82, 4 W 2.72, 4 Au 2.82
W (0.5000, 0.5000, 0.0000)  8 Rh 2.72, 2 W 2.82, 2 Au 2.89
Au (0.5000, 0.5000, 0.5000)  2 Au 2.82, 8 Rh 2.82, 2 W 2.89

Values from the calculation:
energy relative to the lowest polymorph listed for this composition	29	meV/atom

18.
The following is a DFT calculation (GGA-PBE) of crystalline CuRuIN2 at its relaxed geometry.

Cell: 3.7451 3.7451 6.4299 Å, 90.00 90.00 90.00°
Last column: nearest neighbours and their distance in Å.
Space group P4/mmm (No. 123)
Symmetry-distinct sites (fractional):
Cu (0.0000, 0.0000, 0.0000)  4 N 1.87
Ru (0.5000, 0.5000, 0.5000)  4 I 2.65
I (0.0000, 0.0000, 0.5000)  4 Ru 2.65
N (0.0000, 0.5000, 0.0000)  2 Cu 1.87

Values from the calculation:
energy relative to the lowest polymorph listed for this composition	1056	meV/atom
formation energy (no corrections)	189	kJ per mole of atoms

19.
The following is a DFT calculation (GGA-PBE) of crystalline ErAg2SO6 at its relaxed geometry.

Cell: 5.8264 5.8264 5.5977 Å, 90.00 90.00 120.00°
Last column: nearest neighbours and their distance in Å.
Space group P-3m1 (No. 164)
Symmetry-distinct sites (fractional):
Er (0.0000, 0.0000, 0.0000)  6 O 2.25
Ag (0.3333, 0.6667, 0.5148)  3 O 2.28
S (0.0000, 0.0000, 0.5000)  6 O 1.70
O (0.1353, 0.2706, 0.3194)  1 S 1.70

Values from the calculation:
formation energy (no corrections)	-96	kJ per mole of atoms

20.
The following is a DFT calculation (GGA-PBE) of crystalline ZnNiBr2 at its relaxed geometry.

Cell: 4.8265 4.8265 3.3770 Å, 90.00 90.00 90.00°
Last column: nearest neighbours and their distance in Å.
Space group P4/mmm (No. 123)
Symmetry-distinct sites (fractional):
Zn (0.0000, 0.0000, 0.0000)  8 Br 2.95
Ni (0.5000, 0.5000, 0.0000)  8 Br 2.95
Br (0.0000, 0.5000, 0.5000)  4 Ni 2.95, 4 Zn 2.95

Values from the calculation:
energy relative to the lowest polymorph listed for this composition	641	meV/atom
formation energy (no corrections)	36	kJ per mole of atoms

Number 1: total DFT energy (no corrections) -3.472 eV/atom, DOS(E_F) 0.317 states/eV/atom. Number 2: total DFT energy (no corrections) -3.236 eV/atom, DOS(E_F) 0.781 states/eV/atom. Number 3: total DFT energy (no corrections) -3.031 eV/atom, DOS(E_F) 0.336 states/eV/atom. Number 4: total DFT energy (no corrections) -6.531 eV/atom, DOS(E_F) 0.999 states/eV/atom. Number 5: total DFT energy (no corrections) -9.827 eV/atom, DOS(E_F) 1.039 states/eV/atom. Number 6: total DFT energy (no corrections) -3.184 eV/atom, DOS(E_F) 0.436 states/eV/atom. Number 7: total DFT energy (no corrections) -4.440 eV/atom, DOS(E_F) 1.395 states/eV/atom. Number 8: total DFT energy (no corrections) -1.795 eV/atom, DOS(E_F) 0.469 states/eV/atom. Number 9: total DFT energy (no corrections) -6.349 eV/atom, DOS(E_F) 0.620 states/eV/atom. Number 10: total DFT energy (no corrections) -3.383 eV/atom, DOS(E_F) 0.272 states/eV/atom. Number 11: total DFT energy (no corrections) -6.309 eV/atom, DOS(E_F) 1.128 states/eV/atom. Number 12: total DFT energy (no corrections) -5.441 eV/atom, DOS(E_F) 1.526 states/eV/atom. Number 13: total DFT energy (no corrections) -7.297 eV/atom, DOS(E_F) 0.483 states/eV/atom. Number 14: total DFT energy (no corrections) -6.393 eV/atom, DOS(E_F) 0.794 states/eV/atom. Number 15: total DFT energy (no corrections) -7.500 eV/atom, DOS(E_F) 1.070 states/eV/atom. Number 16: total DFT energy (no corrections) -3.800 eV/atom, DOS(E_F) 0.999 states/eV/atom. Number 17: total DFT energy (no corrections) -7.803 eV/atom, DOS(E_F) 0.466 states/eV/atom. Number 18: total DFT energy (no corrections) -4.359 eV/atom, DOS(E_F) 1.347 states/eV/atom. Number 19: total DFT energy (no corrections) -5.406 eV/atom, DOS(E_F) 0.918 states/eV/atom. Number 20: total DFT energy (no corrections) -2.232 eV/atom, DOS(E_F) 1.069 states/eV/atom.